1.
DFT (PBE) results for crystalline Be3RuRh at its relaxed geometry.

Geometry as POSCAR:
```
Be3RuRh
1.0
4.011 0.000 0.000
0.000 4.011 0.000
0.000 0.000 4.011
Ru Rh Be
1 1 3
Cartesian
0.000 0.000 0.000 Ru
2.006 2.006 2.006 Rh
0.000 2.006 0.000 Be
0.000 0.000 2.006 Be
2.006 0.000 0.000 Be
```

Values from the calculation:
Its density of states at the Fermi level is 0.454 states/eV per atom. The energy of formation from the pure elements comes out at 0.610 eV/atom. The space group is Pm-3m, No. 221. For the offset from the most stable computed form, the calculation gives 0.286 eV per formula unit. The calculation puts the total DFT energy (no corrections) at -4.951 eV per atom.

2.
DFT (PBE) results for crystalline Cs5Tm2O6 at its relaxed geometry.

Geometry as POSCAR:
```
Cs5Tm2O6
1.0
7.204 -0.012 0.771
2.751 6.658 0.771
0.239 0.160 15.930
Cs Tm O
10 4 12
Cartesian
5.791 1.661 16.427 Cs
6.560 2.175 9.011 Cs
4.404 5.146 1.045 Cs
3.634 4.632 8.462 Cs
8.448 6.010 12.501 Cs
1.525 1.388 12.937 Cs
1.747 0.796 4.972 Cs
8.670 5.418 4.536 Cs
4.833 3.928 12.719 Cs
5.361 2.878 4.754 Cs
2.941 0.698 9.545 Tm
8.542 4.438 15.892 Tm
7.254 6.108 7.927 Tm
1.653 2.369 1.580 Tm
0.938 0.273 9.895 O
9.702 6.125 15.542 O
9.257 6.533 7.577 O
0.492 0.682 1.930 O
4.005 1.814 10.955 O
7.103 3.883 14.483 O
6.189 4.992 6.518 O
3.092 2.924 2.990 O
6.738 5.534 9.920 O
2.620 2.785 15.517 O
3.457 1.272 7.552 O
7.575 4.021 1.955 O
```

Values from the calculation:
Its density of states at the Fermi level is 0.594 states/eV per atom. The space group is C2/c, No. 15. The formation energy (no corrections) comes out at -44.679 kcal/mol of atoms. The calculation puts the total DFT energy (no corrections) at -5.242 eV per atom.

3.
DFT (PBE) results for crystalline PmCoRh2 at its relaxed geometry.

Geometry as POSCAR:
```
PmCoRh2
1.0
4.248 0.000 0.000
2.124 3.679 0.000
2.124 1.226 4.849
Co Rh Pm
1 2 1
Cartesian
4.248 2.453 2.425 Co
6.372 3.679 2.949 Rh
2.124 1.226 1.901 Rh
0.000 0.000 0.000 Pm
```

Values from the calculation:
Its density of states at the Fermi level is 1.506 states/eV per atom. The energy of formation from the pure elements comes out at -0.210 eV/atom. The space group is R-3m, No. 166. The calculation puts the total DFT energy (no corrections) at -6.850 eV per atom.

4.
DFT (PBE) results for crystalline AlCrI6 at its relaxed geometry.

Geometry as POSCAR:
```
AlCrI6
1.0
-0.865 -5.745 -3.773
5.678 -2.324 4.461
-7.178 1.101 2.193
Al Cr I
1 1 6
Cartesian
0.000 0.000 0.000 Al
-1.182 -3.484 1.440 Cr
-3.587 -4.755 1.846 I
0.032 -5.719 2.485 I
-2.397 -1.249 0.395 I
1.222 -2.214 1.034 I
-1.028 -4.593 -1.113 I
-1.337 -2.375 3.993 I
```

Values from the calculation:
Its density of states at the Fermi level is 0.253 states/eV per atom. The space group is C2/m, No. 12. The formation energy (no corrections) comes out at -8.582 kcal/mol of atoms. For the offset from the most stable computed form, the calculation gives 0.000 eV per formula unit. The calculation puts the total DFT energy (no corrections) at -3.205 eV per atom.

5.
DFT (PBE) results for crystalline Ac4ZnCd3 at its relaxed geometry.

Geometry as POSCAR:
```
Ac4ZnCd3
1.0
-1.171 -2.450 -2.977
-0.573 -3.751 3.312
-12.455 3.608 1.933
Ac Zn Cd
4 1 3
Cartesian
-5.086 -1.879 0.821 Ac
-10.882 1.194 3.300 Ac
-1.878 0.544 0.291 Ac
-8.778 1.148 -0.217 Ac
-1.714 -2.856 0.298 Zn
-7.327 0.164 2.748 Cd
-5.387 1.561 0.836 Cd
-12.258 2.157 0.323 Cd
```

Values from the calculation:
Its density of states at the Fermi level is 1.145 states/eV per atom. The energy of formation from the pure elements comes out at -0.238 eV/atom. The space group is Pmm2, No. 25. For the offset from the most stable computed form, the calculation gives 0.330 eV per formula unit. The calculation puts the total DFT energy (no corrections) at -2.795 eV per atom.

6.
DFT (PBE) results for crystalline ThZnIn at its relaxed geometry.

Geometry as POSCAR:
```
ThZnIn
1.0
-0.631 -4.554 1.411
0.052 -3.551 -3.243
3.684 -3.089 -0.125
Zn Th In
1 1 1
Cartesian
0.776 -2.798 -0.489 Zn
1.553 -5.597 -0.978 Th
0.000 0.000 0.000 In
```

Values from the calculation:
Its density of states at the Fermi level is 0.820 states/eV per atom. The energy of formation from the pure elements comes out at -0.173 eV/atom. The space group is F-43m, No. 216. The calculation puts the total DFT energy (no corrections) at -3.984 eV per atom.

7.
DFT (PBE) results for crystalline Rb4Cl3F at its relaxed geometry.

Geometry as POSCAR:
```
Rb4Cl3F
1.0
-4.376 -0.517 1.077
-1.661 -1.726 -7.575
1.741 -6.730 3.846
Rb Cl F
4 3 1
Cartesian
0.018 -1.887 -0.832 Rb
-3.056 -3.151 -4.373 Rb
0.062 -6.569 -2.897 Rb
-1.240 -5.822 1.721 Rb
0.871 -3.365 1.923 Cl
-2.148 -4.487 -1.326 Cl
-0.831 -0.863 -3.788 Cl
-2.188 -0.258 0.539 F
```

Values from the calculation:
Its density of states at the Fermi level is 0.000 states/eV per atom. The space group is Cmmm, No. 65. The formation energy (no corrections) comes out at -48.223 kcal/mol of atoms. The calculation puts the total DFT energy (no corrections) at -3.501 eV per atom.

8.
DFT (PBE) results for crystalline ZnMoAs at its relaxed geometry.

Geometry as POSCAR:
```
ZnMoAs
1.0
-0.781 4.192 2.565
-4.165 1.090 2.496
3.341 -3.630 -0.650
As Mo Zn
1 1 1
Cartesian
-4.888 5.221 5.002 As
-1.710 1.826 1.750 Mo
-3.293 3.518 3.370 Zn
```

Values from the calculation:
Its density of states at the Fermi level is 0.775 states/eV per atom. The energy of formation from the pure elements comes out at -0.009 eV/atom. The space group is I4mm, No. 107. For the offset from the most stable computed form, the calculation gives 0.000 eV per formula unit. The calculation puts the total DFT energy (no corrections) at -5.594 eV per atom.

9.
DFT (PBE) results for crystalline Tm2ThTe at its relaxed geometry.

Geometry as POSCAR:
```
Tm2ThTe
1.0
3.803 0.000 0.000
1.902 3.294 0.000
1.902 1.098 9.885
Tm Th Te
2 1 1
Cartesian
1.902 1.098 7.776 Tm
1.902 1.098 2.106 Tm
3.803 2.196 4.945 Th
3.803 2.196 0.001 Te
```

Values from the calculation:
Its density of states at the Fermi level is 1.506 states/eV per atom. The space group is R3m, No. 160. The formation energy (no corrections) comes out at -10.280 kcal/mol of atoms. For the offset from the most stable computed form, the calculation gives 0.373 eV per formula unit. The calculation puts the total DFT energy (no corrections) at -5.322 eV per atom.

10.
DFT (PBE) results for crystalline Pr5Te5C at its relaxed geometry.

Geometry as POSCAR:
```
Pr5Te5C
1.0
6.280 0.000 0.000
-3.140 6.992 -0.117
0.000 -2.761 8.309
Pr Te C
5 5 1
Cartesian
3.140 4.565 1.106 Pr
3.140 3.025 5.797 Pr
3.140 0.000 0.000 Pr
0.000 1.206 2.396 Pr
0.000 -0.335 7.087 Pr
3.140 1.587 2.732 Te
3.140 -0.023 6.741 Te
0.000 -1.381 4.154 Te
0.000 4.254 1.451 Te
0.000 2.643 5.460 Te
0.000 0.000 0.000 C
```

Values from the calculation:
Its density of states at the Fermi level is 0.325 states/eV per atom. The space group is C2/m, No. 12. The formation energy (no corrections) comes out at -26.326 kcal/mol of atoms. The calculation puts the total DFT energy (no corrections) at -5.581 eV per atom.

11.
DFT (PBE) results for crystalline TlAgS at its relaxed geometry.

Geometry as POSCAR:
```
TlAgS
1.0
3.641 0.000 0.000
0.000 3.641 0.000
-1.821 -1.821 5.676
Tl S Ag
1 1 1
Cartesian
1.821 1.821 5.648 Tl
1.821 1.821 2.649 S
0.000 0.000 3.055 Ag
```

Values from the calculation:
Its density of states at the Fermi level is 0.204 states/eV per atom. The space group is I4mm, No. 107. The formation energy (no corrections) comes out at 0.131 kcal/mol of atoms. The calculation puts the total DFT energy (no corrections) at -3.109 eV per atom.

12.
DFT (PBE) results for crystalline SmPaZnPt at its relaxed geometry.

Geometry as POSCAR:
```
SmPaZnPt
1.0
-3.278 1.761 3.389
-3.948 -2.803 1.375
-0.176 -2.009 4.612
Zn Pa Sm Pt
1 1 1 1
Cartesian
-1.850 -0.763 2.344 Zn
-3.701 -1.525 4.688 Pa
0.000 0.000 0.000 Sm
-5.551 -2.288 7.032 Pt
```

Values from the calculation:
Its density of states at the Fermi level is 1.299 states/eV per atom. The energy of formation from the pure elements comes out at -0.419 eV/atom. The space group is F-43m, No. 216. The calculation puts the total DFT energy (no corrections) at -5.802 eV per atom.

13.
DFT (PBE) results for crystalline Dy5In2Ir at its relaxed geometry.

Geometry as POSCAR:
```
Dy5In2Ir
1.0
-3.766 2.895 -0.754
-4.500 -5.571 1.080
-0.384 2.660 12.128
Dy In Ir
10 4 2
Cartesian
-0.192 1.330 6.064 Dy
-2.250 -2.786 0.540 Dy
-3.998 -4.295 3.471 Dy
-0.885 1.385 9.737 Dy
-3.103 -1.621 9.275 Dy
-1.780 -1.290 3.933 Dy
-5.094 -1.210 5.457 Dy
-3.554 1.194 6.997 Dy
-5.935 -0.683 11.677 Dy
-2.714 0.667 0.777 Dy
-4.603 -1.408 2.246 In
-4.045 1.392 10.208 In
-6.229 -1.853 8.655 In
-2.420 1.837 3.799 In
-2.442 -1.455 6.604 Ir
0.000 0.000 0.000 Ir
```

Values from the calculation:
Its density of states at the Fermi level is 0.781 states/eV per atom. The energy of formation from the pure elements comes out at -0.519 eV/atom. The space group is Pbam, No. 55. For the offset from the most stable computed form, the calculation gives 0.000 eV per formula unit. The calculation puts the total DFT energy (no corrections) at -5.187 eV per atom.